Below is a relaxed Dy3Y3Th2 crystal, with properties calculated at the PBE level.

Output
Energy of formation from the pure elements, eV/atom: 0.202
Relative energy among the computed polymorphs, meV per atom: 176.6
Magnetic moment, μB per atom: 0.000

Unit cell a=6.3417 b=6.3417 c=6.3417 alpha=90.03 beta=90.03 gamma=89.97
Last column: nearest neighbours and their distance in Å.
Positions (direct):
1 Y 0.7499 0.5000 0.7499  2 Dy 3.17, 2 Th 3.53
2 Dy 0.7499 0.0000 0.7499  2 Y 3.17, 2 Th 3.51
3 Dy 0.0000 0.2501 0.2501  2 Y 3.17, 2 Th 3.51
4 Dy 0.2501 0.7499 0.0000  2 Y 3.17, 2 Th 3.51
5 Y 0.5000 0.2501 0.2501  2 Dy 3.17, 2 Th 3.53
6 Th 0.7545 0.7545 0.2455  6 Dy 3.51-3.56, 6 Y 3.53-3.58
7 Th 0.2455 0.2455 0.7545  6 Dy 3.51-3.56, 6 Y 3.53-3.58
8 Y 0.2501 0.7499 0.5000  2 Dy 3.17, 2 Th 3.53